Record 1
Below is crystalline ZrSc2P at its relaxed geometry, with properties calculated at the GGA-PBE level.

Calculated values
Energy relative to the elements = -623.8 meV per atom
DOS(E_F) = 11.40 states/eV/cell
Electronic total energy = -87.349 eV for the cell shown

a b c (Å): 3.5207 3.5207 25.4068
angles (deg): 90.00 90.00 120.00
Space group R3m (No. 160, hexagonal axes)
Inequivalent atoms, fractional coordinates:
Zr  0.0000  0.0000  0.0000
Sc  0.0000  0.0000  0.5438
Sc  0.0000  0.0000  0.7660
P  0.0000  0.0000  0.2710



Record 2
Below is crystalline Zr5ScP6 at its relaxed geometry, with properties calculated at the GGA-PBE level.

Calculated values
Energy relative to the elements = -1371.4 meV per atom
DOS(E_F) = 10.15 states/eV/cell
Electronic total energy = -195.976 eV for the cell shown

a b c (Å): 6.490 11.236 6.492
angles (deg): 90.00 109.53 90.00
Space group C2/m (No. 12)
Inequivalent atoms, fractional coordinates:
Zr  0.000  0.000  0.000
Zr  0.000  0.167  0.500
Zr  0.000  0.333  0.000
Sc  0.000  0.500  0.500
P  0.249  0.334  0.749
P  0.249  0.500  0.252



Record 3
Below is crystalline Zr4ScP at its relaxed geometry, with properties calculated at the GGA-PBE level.

Calculated values
Energy relative to the elements = 382.3 meV per atom
DOS(E_F) = 41.06 states/eV/cell
Electronic total energy = -174.562 eV for the cell shown

a b c (Å): 8.169 8.169 8.169
angles (deg): 90.00 90.00 90.00
Space group F-43m (No. 216)
Inequivalent atoms, fractional coordinates:
Zr  0.122  0.122  0.378
Sc  0.250  0.250  0.750
P  0.000  0.000  0.000



Record 4
Below is crystalline Zr2Sc2P at its relaxed geometry, with properties calculated at the GGA-PBE level.

Calculated values
Energy relative to the elements = -317.1 meV per atom
DOS(E_F) = 9.00 states/eV/cell
Electronic total energy = -73.509 eV for the cell shown

a b c (Å): 6.872 6.872 4.768
angles (deg): 90.00 90.00 90.00
Space group P4/mbm (No. 127)
Inequivalent atoms, fractional coordinates:
Zr  0.154  0.346  0.000
Sc  0.152  0.652  0.500
P  0.000  0.000  0.000



Record 5
Below is crystalline ZrSc2P at its relaxed geometry, with properties calculated at the GGA-PBE level.

Calculated values
Energy relative to the elements = -443.8 meV per atom
DOS(E_F) = 4.78 states/eV/cell
Electronic total energy = -28.396 eV for the cell shown

a b c (Å): 4.245 4.245 4.192
angles (deg): 90.00 90.00 90.00
Space group P4/mmm (No. 123)
Inequivalent atoms, fractional coordinates:
Zr  0.000  0.000  0.000
Sc  0.000  0.500  0.500
P  0.500  0.500  0.000



Record 6
Below is crystalline Zr2ScP at its relaxed geometry, with properties calculated at the GGA-PBE level.

Calculated values
Energy relative to the elements = -347.4 meV per atom
DOS(E_F) = 8.34 states/eV/cell
Electronic total energy = -60.454 eV for the cell shown

a b c (Å): 5.766 7.856 3.448
angles (deg): 90.00 90.00 90.00
Space group Cmmm (No. 65)
Inequivalent atoms, fractional coordinates:
Zr  0.250  0.250  0.000
Sc  0.000  0.000  0.500
P  0.000  0.500  0.500



Record 7
Below is crystalline ZrSc4P at its relaxed geometry, with properties calculated at the GGA-PBE level.

Calculated values
Energy relative to the elements = 345.3 meV per atom
DOS(E_F) = 35.89 states/eV/cell
Electronic total energy = -148.850 eV for the cell shown

a b c (Å): 8.172 8.172 8.172
angles (deg): 90.00 90.00 90.00
Space group F-43m (No. 216)
Inequivalent atoms, fractional coordinates:
Zr  0.000  0.000  0.000
Sc  0.126  0.126  0.374
P  0.250  0.250  0.750



Record 8
Below is crystalline ZrSc3P4 at its relaxed geometry, with properties calculated at the GGA-PBE level.

Calculated values
Energy relative to the elements = -1481.9 meV per atom
DOS(E_F) = 2.68 states/eV/cell
Electronic total energy = -122.074 eV for the cell shown

a b c (Å): 7.499 10.587 3.751
angles (deg): 90.00 90.00 90.00
Space group Cmmm (No. 65)
Inequivalent atoms, fractional coordinates:
Zr  0.000  0.000  0.000
Sc  0.000  0.500  0.000
Sc  0.250  0.250  0.500
P  0.000  0.250  0.000
P  0.249  0.500  0.500